First-principles (PBE-GGA) data for a geometry-optimized EuErAgRh structure, as listed in the Alexandria database.

```
4
Lattice="-0.595 -4.170 2.754 3.844 -1.799 2.705 -0.102 0.295 5.023" Properties=species:S:1:pos:R:3 pbc="T T T"
Rh 2.360 -4.256 7.863
Ag 0.787 -1.419 2.621
Er 1.573 -2.837 5.242
Eu 0.000 0.000 0.000
```

Results
**ΔE_f**: -0.431 eV/atom
**Size of the total moment**: 7.02 μB per cell
**Crystal system**: cubic